*i*
# CePmMg

A relaxed CePmMg crystal (PBE, the Alexandria database).

a b c (Å): 3.166 5.515 5.515
angles (deg): 120.00 90.00 90.00
Each line ends with the local moment (μB).
Atoms (fractional coordinates):
Mg: 0.666 0.667 0.333  -0.01
Ce: 0.166 0.333 0.667  0.70
Pm: 0.168 0.000 0.000  -0.01

Volume   83 Å³/cell

***

*ii*
# CePmMg

A relaxed CePmMg crystal (PBE, the Alexandria database).

a b c (Å): 3.421 3.421 7.925
angles (deg): 102.47 102.47 90.00
Each line ends with the local moment (μB).
Atoms (fractional coordinates):
Mg: 0.666 0.666 0.333  0.00
Ce: 0.005 0.005 0.011  0.79
Pm: 0.328 0.328 0.657  0.02

Volume   88 Å³/cell

***

*iii*
# CePmMg

A relaxed CePmMg crystal (PBE, the Alexandria database).

a b c (Å): 3.290 8.672 6.020
angles (deg): 90.00 90.00 90.00
Each line ends with the local moment (μB).
Atoms (fractional coordinates):
Pm: 0.000 0.357 0.250  0.02
Pm: 0.000 0.643 0.750  0.02
Ce: 0.000 0.000 0.000  0.70
Ce: 0.000 0.000 0.500  0.70
Mg: 0.500 0.699 0.250  0.00
Mg: 0.500 0.301 0.750  0.00

Volume   172 Å³/cell

***

Top of the stability list: *ii*, leading by 62 meV/atom.

***

*i*
# Ce2PrMg

A relaxed Ce2PrMg crystal (PBE, the Alexandria database).

a b c (Å): 3.372 3.372 10.405
angles (deg): 90.00 90.00 90.00
Each line ends with the local moment (μB).
Atoms (fractional coordinates):
Pr: 0.500 0.500 0.500  0.01
Mg: 0.500 0.500 0.000  0.00
Ce: 0.000 0.000 0.763  0.75
Ce: 0.000 0.000 0.237  0.75

Volume   118 Å³/cell

***

*ii*
# Ce2PrMg

A relaxed Ce2PrMg crystal (PBE, the Alexandria database).

a b c (Å): 5.576 5.576 5.576
angles (deg): 60.00 60.00 60.00
Each line ends with the local moment (μB).
Atoms (fractional coordinates):
Pr: 0.500 0.500 0.500  0.25
Mg: 0.000 0.000 0.000  0.00
Ce: 0.250 0.250 0.250  0.87
Ce: 0.750 0.750 0.750  0.87

Volume   123 Å³/cell

***

Top of the stability list: *i*, leading by 97 meV/atom.

***

*i*
# Ce2PrMg

A relaxed Ce2PrMg crystal (PBE, the Alexandria database).

a b c (Å): 5.125 4.801 4.801
angles (deg): 90.00 90.00 90.00
Each line ends with the local moment (μB).
Atoms (fractional coordinates):
Pr: 0.500 0.500 0.500  0.05
Mg: 0.500 0.000 0.000  0.00
Ce: 0.000 0.000 0.500  0.73
Ce: 0.000 0.500 0.000  0.73

Volume   118 Å³/cell

***

*ii*
# Ce2PrMg

A relaxed Ce2PrMg crystal (PBE, the Alexandria database).

a b c (Å): 3.398 3.398 11.953
angles (deg): 81.83 81.83 60.00
Each line ends with the local moment (μB).
Atoms (fractional coordinates):
Ce: 0.080 0.080 0.761  0.67
Ce: 0.254 0.254 0.239  0.57
Pr: 0.500 0.500 0.499  0.00
Mg: 0.667 0.667 0.000  0.00

Volume   118 Å³/cell

***

*iii*
# Ce2PrMg

A relaxed Ce2PrMg crystal (PBE, the Alexandria database).

a b c (Å): 3.317 3.317 12.838
angles (deg): 82.58 82.58 60.00
Each line ends with the local moment (μB).
Atoms (fractional coordinates):
Pr: 0.500 0.500 0.500  0.01
Mg: 0.000 0.000 0.000  0.00
Ce: 0.087 0.087 0.740  0.68
Ce: 0.913 0.913 0.260  0.68

Volume   121 Å³/cell

***

Top of the stability list: *i*, leading by 38 meV/atom.

***

*i*
# CeMgPt

A relaxed CeMgPt crystal (PBE, the Alexandria database).

a b c (Å): 4.916 4.916 7.791
angles (deg): 71.61 71.61 60.00
Each line ends with the local moment (μB).
Atoms (fractional coordinates):
Ce: 0.117 0.117 0.650  0.73
Ce: 0.883 0.883 0.350  0.73
Mg: 0.629 0.629 0.112  0.00
Mg: 0.371 0.371 0.888  0.00
Pt: 0.751 0.751 0.747  -0.01
Pt: 0.249 0.249 0.253  -0.01

Volume   152 Å³/cell

***

*ii*
# CeMgPt

A relaxed CeMgPt crystal (PBE, the Alexandria database).

a b c (Å): 4.188 4.188 8.290
angles (deg): 104.63 104.63 89.99
Each line ends with the local moment (μB).
Atoms (fractional coordinates):
Ce: 0.325 0.325 0.650  0.71
Ce: 0.675 0.675 0.350  0.71
Mg: 0.500 0.000 0.000  0.01
Mg: 0.000 0.500 0.000  0.01
Pt: 0.867 0.867 0.735  -0.01
Pt: 0.133 0.133 0.265  -0.01

Volume   136 Å³/cell

***

*iii*
# CeMgPt

A relaxed CeMgPt crystal (PBE, the Alexandria database).

a b c (Å): 7.518 7.518 4.088
angles (deg): 90.00 90.00 120.00
Each line ends with the local moment (μB).
Atoms (fractional coordinates):
Ce: 0.585 0.585 0.000  0.55
Ce: 0.415 0.000 0.000  0.55
Ce: 0.000 0.415 0.000  0.55
Mg: 0.000 0.759 0.500  0.00
Mg: 0.241 0.241 0.500  0.00
Mg: 0.759 0.000 0.500  0.00
Pt: 0.333 0.667 0.500  -0.01
Pt: 0.000 0.000 0.000  0.00
Pt: 0.667 0.333 0.500  -0.01

Volume   200 Å³/cell

***

*iv*
# CeMgPt

A relaxed CeMgPt crystal (PBE, the Alexandria database).

a b c (Å): 3.636 4.626 4.626
angles (deg): 120.00 90.00 90.00
Each line ends with the local moment (μB).
Atoms (fractional coordinates):
Mg: 0.167 0.333 0.667  0.01
Ce: 0.667 0.667 0.333  0.68
Pt: 0.166 0.000 0.000  -0.02

Volume   67 Å³/cell

***

Top of the stability list: *iii*, leading by 83 meV/atom.